Here is a relaxed KRbRePt2 crystal from Alexandria. Energies are from PBE.

Computed properties:
The value obtained for the density of states at the Fermi level is 0.74 states/eV/atom. Its formation energy is 0.75 eV per atom. The value obtained for the total energy is -4.57 eV per atom.

a = 4.9428 Å, b = 4.9428 Å, c = 5.8355 Å
α = 90.00°, β = 90.00°, γ = 90.00°
Space group P4/mmm (No. 123)
Symmetry-distinct sites (fractional):
K 0.0000 0.0000 0.0000 [1 per cell]
Rb 0.5000 0.5000 0.0000 [1 per cell]
Re 0.5000 0.5000 0.5000 [1 per cell]
Pt 0.0000 0.5000 0.5000 [2 per cell]



Here is a relaxed RbCu3SiSe4 crystal from Alexandria. Energies are from PBE.

Computed properties:
Its uncorrected formation energy is -2.94 eV per formula unit. The value obtained for the total energy is -3.95 eV per atom.

a = 6.2186 Å, b = 6.2186 Å, c = 6.2186 Å
α = 90.00°, β = 90.00°, γ = 90.00°
Space group P-43m (No. 215)
Symmetry-distinct sites (fractional):
Rb 0.0000 0.0000 0.0000 [1 per cell]
Cu 0.0000 0.5000 0.5000 [3 per cell]
Si 0.5000 0.5000 0.5000 [1 per cell]
Se 0.2896 0.2896 0.7104 [4 per cell]



Here is a relaxed CsTe2As2 crystal from Alexandria. Energies are from PBE.

Computed properties:
The value obtained for the density of states at the Fermi level is 0.47 states/eV/atom. Its offset from the most stable computed form is 2.23 eV per formula unit. Its uncorrected formation energy is 0.70 eV per formula unit. The value obtained for the total energy is -3.15 eV per atom.

a = 4.7364 Å, b = 4.7364 Å, c = 14.3678 Å
α = 90.00°, β = 90.00°, γ = 90.00°
Space group I4/mmm (No. 139)
Symmetry-distinct sites (fractional):
Cs 0.0000 0.0000 0.0000 [2 per cell]
Te 0.0000 0.0000 0.3961 [4 per cell]
As 0.0000 0.5000 0.2500 [4 per cell]



Here is a relaxed Pm3Y8Tm3 crystal from Alexandria. Energies are from PBE.

Computed properties:
The value obtained for the density of states at the Fermi level is 1.74 states/eV/atom. Its offset from the most stable computed form is 0.00 eV per formula unit. Its formation energy is 0.12 eV per atom. The value obtained for the total energy is -5.55 eV per atom.

a = 5.6628 Å, b = 10.8200 Å, c = 15.0019 Å
α = 90.00°, β = 90.00°, γ = 90.00°
Space group Immm (No. 71)
Symmetry-distinct sites (fractional):
Pm 0.0000 0.0000 0.0000 [2 per cell]
Pm 0.0000 0.5000 0.3195 [4 per cell]
Y 0.0000 0.1590 0.2789 [8 per cell]
Y 0.0000 0.3421 0.1026 [8 per cell]
Tm 0.0000 0.0000 0.5000 [2 per cell]
Tm 0.0000 0.2961 0.5000 [4 per cell]



Here is a relaxed ZrTaTl crystal from Alexandria. Energies are from PBE.

Computed properties:
The value obtained for the density of states at the Fermi level is 0.61 states/eV/atom. Its offset from the most stable computed form is 0.00 eV per formula unit. Its formation energy is 0.19 eV per atom. The value obtained for the total energy is -7.40 eV per atom.

a = 3.0379 Å, b = 3.0379 Å, c = 14.0143 Å
α = 90.00°, β = 90.00°, γ = 90.00°
Space group I4mm (No. 107)
Symmetry-distinct sites (fractional):
Zr 0.0000 0.0000 0.0000 [2 per cell]
Ta 0.0000 0.0000 0.6566 [2 per cell]
Tl 0.0000 0.0000 0.3227 [2 per cell]



Here is a relaxed TbZnSi2 crystal from Alexandria. Energies are from PBE.

Computed properties:
The value obtained for the density of states at the Fermi level is 0.42 states/eV/atom. Its offset from the most stable computed form is 0.46 eV per formula unit. Its uncorrected formation energy is -1.17 eV per formula unit. The value obtained for the total energy is -4.48 eV per atom.

a = 4.2281 Å, b = 4.2281 Å, c = 4.0594 Å
α = 90.00°, β = 90.00°, γ = 90.00°
Space group P4/mmm (No. 123)
Symmetry-distinct sites (fractional):
Tb 0.0000 0.0000 0.0000 [1 per cell]
Zn 0.5000 0.5000 0.0000 [1 per cell]
Si 0.0000 0.5000 0.5000 [2 per cell]



Here is a relaxed CePm2U2Ru5 crystal from Alexandria. Energies are from PBE.

Computed properties:
The value obtained for the density of states at the Fermi level is 0.93 states/eV/atom. Its formation energy is -0.24 eV per atom. The value obtained for the total energy is -8.68 eV per atom.

a = 10.6642 Å, b = 10.6642 Å, c = 3.6301 Å
α = 90.00°, β = 90.00°, γ = 90.00°
Space group P4/mbm (No. 127)
Symmetry-distinct sites (fractional):
Ce 0.0000 0.0000 0.0000 [2 per cell]
Pm 0.1759 0.3241 0.0000 [4 per cell]
U 0.1344 0.6344 0.0000 [4 per cell]
Ru 0.0000 0.5000 0.5000 [2 per cell]
Ru 0.0527 0.7917 0.5000 [8 per cell]



Here is a relaxed Tl2PbI crystal from Alexandria. Energies are from PBE.

Computed properties:
The value obtained for the density of states at the Fermi level is 0.22 states/eV/atom. Its offset from the most stable computed form is 0.69 eV per formula unit. Its uncorrected formation energy is 0.07 eV per formula unit. The value obtained for the total energy is -2.48 eV per atom.

a = 7.0017 Å, b = 7.0017 Å, c = 16.3557 Å
α = 90.00°, β = 90.00°, γ = 90.00°
Space group I-42d (No. 122)
Symmetry-distinct sites (fractional):
Tl 0.2113 0.2500 0.1250 [8 per cell]
Pb 0.0000 0.0000 0.0000 [4 per cell]
I 0.0000 0.0000 0.5000 [4 per cell]



Here is a relaxed ZnAg5 crystal from Alexandria. Energies are from PBE.

Computed properties:
The value obtained for the density of states at the Fermi level is 0.17 states/eV/atom. Its offset from the most stable computed form is 1.37 eV per formula unit. Its formation energy is 0.22 eV per atom. The value obtained for the total energy is -2.37 eV per atom.

a = 5.4370 Å, b = 5.4370 Å, c = 4.7733 Å
α = 90.00°, β = 90.00°, γ = 120.00°
Space group P6/mmm (No. 191)
Symmetry-distinct sites (fractional):
Zn 0.0000 0.0000 0.0000 [1 per cell]
Ag 0.0000 0.5000 0.5000 [3 per cell]
Ag 0.3333 0.6667 0.0000 [2 per cell]



Here is a relaxed DyY12Sc6 crystal from Alexandria. Energies are from PBE.

Computed properties:
The value obtained for the density of states at the Fermi level is 1.64 states/eV/atom. Its formation energy is 0.23 eV per atom. The value obtained for the total energy is -6.10 eV per atom.

a = 10.4909 Å, b = 10.4909 Å, c = 10.4909 Å
α = 90.00°, β = 90.00°, γ = 90.00°
Space group Im-3 (No. 204)
Symmetry-distinct sites (fractional):
Dy 0.0000 0.0000 0.0000 [2 per cell]
Y 0.0000 0.1948 0.2685 [24 per cell]
Sc 0.0000 0.3627 0.5000 [12 per cell]



Here is a relaxed Cr2FeTe crystal from Alexandria. Energies are from PBE.

Computed properties:
The value obtained for the density of states at the Fermi level is 0.91 states/eV/atom. Its offset from the most stable computed form is 0.45 eV per formula unit. Its uncorrected formation energy is 1.88 eV per formula unit. The value obtained for the total energy is -7.24 eV per atom.

a = 3.0875 Å, b = 3.6477 Å, c = 5.2939 Å
α = 90.00°, β = 90.11°, γ = 90.00°
Space group P2/m (No. 10)
Symmetry-distinct sites (fractional):
Cr 0.0007 0.0000 0.1904 [2 per cell]
Fe 0.5000 0.5000 0.0000 [1 per cell]
Te 0.5000 0.5000 0.5000 [1 per cell]



Here is a relaxed Dy2YUP4 crystal from Alexandria. Energies are from PBE.

Computed properties:
The value obtained for the density of states at the Fermi level is 0.86 states/eV/atom. Its formation energy is -1.46 eV per atom. The value obtained for the total energy is -7.53 eV per atom.

a = 6.8997 Å, b = 3.9745 Å, c = 6.9000 Å
α = 90.00°, β = 109.23°, γ = 90.00°
Space group P2/m (No. 10)
Symmetry-distinct sites (fractional):
Dy 0.0000 0.0000 0.0000 [1 per cell]
Dy 0.5000 0.5000 0.0000 [1 per cell]
Y 0.0000 0.5000 0.5000 [1 per cell]
U 0.5000 0.0000 0.5000 [1 per cell]
P 0.2549 0.0000 0.7460 [2 per cell]
P 0.2551 0.5000 0.2547 [2 per cell]



Here is a relaxed KAlSb crystal from Alexandria. Energies are from PBE.

Computed properties:
The value obtained for the density of states at the Fermi level is 0.33 states/eV/atom. Its offset from the most stable computed form is 0.00 eV per formula unit. Its uncorrected formation energy is -0.73 eV per formula unit. The value obtained for the total energy is -3.23 eV per atom.

a = 5.0995 Å, b = 5.0995 Å, c = 7.6134 Å
α = 90.00°, β = 90.00°, γ = 90.00°
Space group P4/nmm (No. 129, origin choice 2)
Symmetry-distinct sites (fractional):
K 0.2500 0.2500 0.1639 [2 per cell]
Al 0.2500 0.7500 0.5000 [2 per cell]
Sb 0.2500 0.2500 0.6750 [2 per cell]